No. 1
{
  "formula": "RbMn4P3O12",
  "functional": "GGA-PBEsol",
  "state": "optimized geometry",
  "cell": [[-5.592, -2.035, -2.316], [3.852, -8.953, -1.432], [-4.751, -4.512, 15.437]],
  "species": ["O", "O", "O", "O", "O", "O", "O", "O", "O", "O", "O", "O", "O", "O", "O", "O", "O", "O", "O", "O", "O", "O", "O", "O", "O", "O", "O", "O", "O", "O", "O", "O", "O", "O", "O", "O", "O", "O", "O", "O", "O", "O", "O", "O", "O", "O", "O", "O", "P", "P", "P", "P", "P", "P", "P", "P", "P", "P", "P", "P", "Mn", "Mn", "Mn", "Mn", "Mn", "Mn", "Mn", "Mn", "Mn", "Mn", "Mn", "Mn", "Mn", "Mn", "Mn", "Mn", "Rb", "Rb", "Rb", "Rb"],
  "fractional_positions": [[0.803, 0.084, 0.377], [0.693, 0.332, 0.589], [0.000, 0.112, 0.247], [0.303, 0.416, 0.877], [0.201, 0.404, 0.322], [0.307, 0.668, 0.411], [0.000, 0.888, 0.753], [0.299, 0.096, 0.822], [0.799, 0.596, 0.678], [0.201, 0.596, 0.678], [0.807, 0.168, 0.089], [0.807, 0.832, 0.911], [0.500, 0.886, 0.773], [0.500, 0.893, 0.305], [0.701, 0.904, 0.178], [0.500, 0.612, 0.253], [0.500, 0.388, 0.747], [0.799, 0.404, 0.322], [0.000, 0.386, 0.727], [0.197, 0.916, 0.623], [0.500, 0.357, 0.456], [0.500, 0.643, 0.544], [0.193, 0.832, 0.911], [0.697, 0.584, 0.123], [0.000, 0.607, 0.805], [0.500, 0.114, 0.227], [0.500, 0.616, 0.817], [0.000, 0.393, 0.195], [0.500, 0.132, 0.523], [0.000, 0.632, 0.977], [0.000, 0.143, 0.956], [0.000, 0.116, 0.683], [0.697, 0.416, 0.877], [0.000, 0.614, 0.273], [0.500, 0.868, 0.477], [0.299, 0.904, 0.178], [0.000, 0.857, 0.044], [0.193, 0.168, 0.089], [0.803, 0.916, 0.623], [0.500, 0.107, 0.695], [0.197, 0.084, 0.377], [0.693, 0.668, 0.411], [0.000, 0.884, 0.317], [0.303, 0.584, 0.123], [0.500, 0.384, 0.183], [0.307, 0.332, 0.589], [0.000, 0.368, 0.023], [0.701, 0.096, 0.822], [0.500, 0.712, 0.462], [0.000, 0.212, 0.038], [0.000, 0.788, 0.962], [0.000, 0.544, 0.718], [0.500, 0.459, 0.832], [0.500, 0.288, 0.538], [0.000, 0.041, 0.332], [0.000, 0.959, 0.668], [0.500, 0.956, 0.218], [0.000, 0.456, 0.282], [0.500, 0.541, 0.168], [0.500, 0.044, 0.782], [0.500, 0.042, 0.405], [0.747, 0.753, 0.797], [0.000, 0.025, 0.859], [0.500, 0.958, 0.595], [0.753, 0.747, 0.297], [0.247, 0.747, 0.297], [0.000, 0.458, 0.905], [0.247, 0.253, 0.703], [0.747, 0.247, 0.203], [0.500, 0.475, 0.359], [0.253, 0.753, 0.797], [0.500, 0.525, 0.641], [0.753, 0.253, 0.703], [0.253, 0.247, 0.203], [0.000, 0.542, 0.095], [0.000, 0.975, 0.141], [0.500, 0.204, 0.966], [0.000, 0.704, 0.534], [0.000, 0.296, 0.466], [0.500, 0.796, 0.034]],
  "energy_ev_per_atom": -7.95,
  "mass_density_g_cm3": 3.72,
  "vol_a3_per_cell": 1055,
  "space_group": "Pnnm",
  "formation_energy_uncorrected_ev_per_atom": -1.93
}



No. 2
{
  "formula": "Cr5Os",
  "functional": "GGA-PBEsol",
  "state": "optimized geometry",
  "cell": [[2.850, 0.000, 0.000], [-1.425, 4.515, 0.009], [0.000, -1.831, 5.440]],
  "species": ["Cr", "Cr", "Cr", "Cr", "Cr", "Os"],
  "fractional_positions": [[0.674, 0.347, 0.827], [0.670, 0.339, 0.345], [0.330, 0.661, 0.655], [0.000, 0.000, 0.500], [0.326, 0.653, 0.173], [0.000, 0.000, 0.000]],
  "energy_ev_per_atom": -10.52,
  "mass_density_g_cm3": 10.68,
  "vol_a3_per_cell": 70,
  "delta_e_f_ev_per_atom": 0.05,
  "space_group": "C2/m",
  "polymorph_energy_mev_per_atom": 9
}



No. 3
{
  "formula": "CuAsAuSe2",
  "functional": "GGA-PBEsol",
  "state": "optimized geometry",
  "cell": [[4.529, 0.000, 0.000], [0.000, 4.734, 0.000], [0.000, 0.000, 4.734]],
  "species": ["Se", "Se", "Au", "As", "Cu"],
  "fractional_positions": [[0.000, 0.000, 0.500], [0.000, 0.500, 0.000], [0.500, 0.500, 0.500], [0.500, 0.000, 0.000], [0.000, 0.000, 0.000]],
  "energy_ev_per_atom": -3.51,
  "mass_density_g_cm3": 8.07,
  "vol_a3_per_cell": 101,
  "space_group": "P4/mmm",
  "formation_energy_uncorrected_ev_per_atom": 0.70
}



No. 4
{
  "formula": "LaReAu2",
  "functional": "GGA-PBEsol",
  "state": "optimized geometry",
  "cell": [[-1.726, -0.493, 2.442], [-3.758, -1.756, -3.010], [2.991, -3.948, 1.317]],
  "species": ["Au", "Au", "Re", "La"],
  "fractional_positions": [[0.000, 0.000, 0.500], [0.000, 0.500, 0.000], [0.500, 0.000, 0.000], [0.500, 0.500, 0.500]],
  "energy_ev_per_atom": -6.43,
  "mass_density_g_cm3": 15.80,
  "vol_a3_per_cell": 76,
  "delta_e_f_ev_per_atom": 0.20,
  "space_group": "Cmmm"
}



No. 5
{
  "formula": "Zr2CdTc",
  "functional": "GGA-PBEsol",
  "state": "optimized geometry",
  "cell": [[-1.370, -2.256, 2.143], [3.416, 0.802, 3.028], [-3.659, 4.263, -0.549]],
  "species": ["Zr", "Zr", "Cd", "Tc"],
  "fractional_positions": [[0.253, 0.753, 0.507], [0.027, 0.027, 0.054], [0.479, 0.479, 0.958], [0.741, 0.241, 0.482]],
  "energy_ev_per_atom": -7.71,
  "mass_density_g_cm3": 8.52,
  "vol_a3_per_cell": 77,
  "delta_e_f_ev_per_atom": -0.04,
  "space_group": "Imm2"
}



No. 6
{
  "formula": "MgCdSb",
  "functional": "GGA-PBEsol",
  "state": "optimized geometry",
  "cell": [[-4.086, 1.983, -1.448], [-2.918, -2.404, -2.903], [-4.161, -1.651, 1.637]],
  "species": ["Mg", "Sb", "Cd"],
  "fractional_positions": [[0.250, 0.250, 0.250], [0.000, 0.000, 0.000], [0.500, 0.500, 0.500]],
  "energy_ev_per_atom": -2.55,
  "mass_density_g_cm3": 5.60,
  "vol_a3_per_cell": 77,
  "space_group": "F-43m",
  "formation_energy_uncorrected_ev_per_atom": -0.06,
  "polymorph_energy_mev_per_atom": 0
}